Entry 1:
Material: Tl2SbPd
Method: DFT, PBE
State: optimized geometry

Values from the calculation:
The formation energy from raw total energies is -150 meV/atom. As for the space group: Cm. Its crystal system is monoclinic. The energy above the most stable polymorph in this dataset comes out at 0.0000 eV/atom.

Cell lengths 4.4937, 4.5009, 7.2241 Å; angles 71.89, 71.88, 60.05 degrees
Atoms (fractional coordinates):
Pd 0.1477 0.9093 0.7952
Tl 0.6947 0.4572 0.1535
Tl 0.9043 0.6692 0.5223
Sb 0.4637 0.2263 0.8464

***

Entry 2:
Material: Hf3TcPd
Method: DFT, PBE
State: optimized geometry

Values from the calculation:
As for the space group: Pm-3m. Its crystal system is cubic. The energy above the most stable polymorph in this dataset comes out at 0.4083 eV/atom.

Cell lengths 4.9065, 4.9065, 4.9065 Å; angles 90.00, 90.00, 90.00 degrees
Atoms (fractional coordinates):
Pd 0.0000 0.0000 0.0000
Hf 0.0000 0.5000 0.0000
Hf 0.0000 0.0000 0.5000
Hf 0.5000 0.0000 0.0000
Tc 0.5000 0.5000 0.5000

***

Entry 3:
Material: Ti5CrIr4
Method: DFT, PBE
State: optimized geometry

Values from the calculation:
As for the space group: P4/mmm. Its crystal system is tetragonal. For the total energy, the calculation gives -91.472 eV/f.u.

Cell lengths 3.1357, 3.1357, 15.1213 Å; angles 90.00, 90.00, 90.00 degrees
Atoms (fractional coordinates):
Ir 0.0000 0.0000 0.4001
Ir 0.0000 0.0000 0.2006
Ir 0.0000 0.0000 0.7994
Ir 0.0000 0.0000 0.5999
Ti 0.5000 0.5000 0.2978
Ti 0.5000 0.5000 0.9065
Ti 0.5000 0.5000 0.0935
Ti 0.5000 0.5000 0.7022
Ti 0.5000 0.5000 0.5000
Cr 0.0000 0.0000 0.0000

***

Entry 4:
Material: BaZn2Pt2
Method: DFT, PBE
State: optimized geometry

Values from the calculation:
As for the space group: P4/mbm. Its crystal system is tetragonal. The energy above the most stable polymorph in this dataset comes out at 0.2157 eV/atom.

Cell lengths 7.9896, 7.9896, 3.0014 Å; angles 90.00, 90.00, 90.00 degrees
Atoms (fractional coordinates):
Pt 0.1738 0.6738 0.5000
Pt 0.8262 0.3262 0.5000
Pt 0.6738 0.8262 0.5000
Pt 0.3262 0.1738 0.5000
Ba 0.0000 0.0000 0.0000
Ba 0.5000 0.5000 0.0000
Zn 0.3840 0.8840 0.0000
Zn 0.6160 0.1160 0.0000
Zn 0.8840 0.6160 0.0000
Zn 0.1160 0.3840 0.0000

***

Entry 5:
Material: LiIrO3
Method: DFT, PBE
State: optimized geometry

Values from the calculation:
The formation energy from raw total energies is 431 meV/atom. As for the space group: Pm-3m. Its crystal system is cubic.

Cell lengths 3.4685, 3.4685, 3.4685 Å; angles 90.00, 90.00, 90.00 degrees
Atoms (fractional coordinates):
Li 0.0000 0.0000 0.0000
Ir 0.5000 0.5000 0.5000
O 0.0000 0.5000 0.0000
O 0.0000 0.0000 0.5000
O 0.5000 0.0000 0.0000

***

Entry 6:
Material: RePtAu2
Method: DFT, PBE
State: optimized geometry

Values from the calculation:
As for the space group: Immm. Its crystal system is orthorhombic. The energy above the most stable polymorph in this dataset comes out at 0.2719 eV/atom.

Cell lengths 5.7032, 5.7032, 5.7032 Å; angles 151.91, 128.88, 59.34 degrees
Site moments in Bohr magnetons follow the coordinates.
Atoms (fractional coordinates):
Re 0.2500 0.7500 0.5000  0.88
Au 0.4946 0.4946 0.0000  0.05
Au 0.0054 0.0054 0.0000  0.05
Pt 0.7500 0.2500 0.5000  0.11

***

Entry 7:
Material: VMoAs3
Method: DFT, PBE
State: optimized geometry

Values from the calculation:
As for the space group: Pm-3m. Its crystal system is cubic. For the total energy, the calculation gives -30.219 eV/f.u.

Cell lengths 4.8686, 4.8686, 4.8686 Å; angles 90.00, 90.00, 90.00 degrees
Site moments in Bohr magnetons follow the coordinates.
Atoms (fractional coordinates):
Mo 0.0000 0.0000 0.0000  0.42
V 0.5000 0.5000 0.5000  3.00
As 0.0000 0.5000 0.0000  -0.07
As 0.0000 0.0000 0.5000  -0.07
As 0.5000 0.0000 0.0000  -0.07

***

Entry 8:
Material: La2Tb5Dy
Method: DFT, PBE
State: optimized geometry

Values from the calculation:
As for the space group: Pbam. Its crystal system is orthorhombic. For the total energy, the calculation gives -37.393 eV/f.u.

Cell lengths 5.1095, 7.2081, 14.4165 Å; angles 90.00, 90.00, 90.00 degrees
Atoms (fractional coordinates):
Tb 0.0000 0.0000 0.0000
Tb 0.5000 0.7509 0.1251
Tb 0.0000 0.5000 0.5000
Tb 0.5000 0.2509 0.3749
Tb 0.0000 0.0009 0.2500
Tb 0.5000 0.7491 0.6251
Tb 0.0000 0.4991 0.7500
Tb 0.0000 0.5009 0.2500
Tb 0.5000 0.2491 0.8749
Tb 0.0000 0.9991 0.7500
La 0.5000 0.7508 0.3751
La 0.5000 0.7492 0.8751
La 0.5000 0.2492 0.6249
La 0.5000 0.2508 0.1249
Dy 0.0000 0.0000 0.5000
Dy 0.0000 0.5000 0.0000

***

Entry 9:
Material: CdHg2Os
Method: DFT, PBE
State: optimized geometry

Values from the calculation:
As for the space group: P4mm. Its crystal system is tetragonal. For the total energy, the calculation gives -10.264 eV/f.u.

Cell lengths 2.9905, 2.9905, 9.0953 Å; angles 90.00, 90.00, 90.00 degrees
Site moments in Bohr magnetons follow the coordinates.
Atoms (fractional coordinates):
Os 0.0000 0.0000 0.5040  1.04
Hg 0.0000 0.0000 0.9952  0.01
Hg 0.5000 0.5000 0.2834  0.02
Cd 0.5000 0.5000 0.7174  0.00

***

Entry 10:
Material: BeInCuO4
Method: DFT, PBE
State: optimized geometry

Values from the calculation:
The formation energy from raw total energies is -1301 meV/atom. As for the space group: Cmcm. Its crystal system is orthorhombic.

Cell lengths 5.0714, 5.0714, 6.3778 Å; angles 90.00, 90.00, 113.35 degrees
Site moments in Bohr magnetons follow the coordinates.
Atoms (fractional coordinates):
O 0.2377 0.7623 0.0316  0.36
O 0.2212 0.2476 0.7500  0.18
O 0.2377 0.7623 0.4684  0.36
O 0.7524 0.7788 0.7500  0.18
O 0.2476 0.2212 0.2500  0.18
O 0.7788 0.7524 0.2500  0.18
O 0.7623 0.2377 0.9684  0.36
O 0.7623 0.2377 0.5316  0.36
Be 0.8642 0.1358 0.7500  -0.01
Be 0.1358 0.8642 0.2500  -0.01
In 0.5000 0.5000 0.5000  0.00
In 0.5000 0.5000 0.0000  0.00
Cu 0.8263 0.1737 0.2500  0.73
Cu 0.1737 0.8263 0.7500  0.73

***

Entry 11:
Material: PuCuPdRh
Method: DFT, PBE
State: optimized geometry

Values from the calculation:
As for the space group: F-43m. Its crystal system is cubic. For the total energy, the calculation gives -32.127 eV/f.u.

Cell lengths 4.5950, 4.5950, 4.5950 Å; angles 60.00, 60.00, 60.00 degrees
Site moments in Bohr magnetons follow the coordinates.
Atoms (fractional coordinates):
Rh 0.5000 0.5000 0.5000  -0.21
Pd 0.0000 0.0000 0.0000  -0.04
Pu 0.7500 0.7500 0.7500  4.94
Cu 0.2500 0.2500 0.2500  0.02

***

Entry 12:
Material: LaTcSe2
Method: DFT, PBE
State: optimized geometry

Values from the calculation:
The formation energy from raw total energies is -896 meV/atom. As for the space group: R3m. Its crystal system is trigonal. The energy above the most stable polymorph in this dataset comes out at 0.0671 eV/atom.

Cell lengths 6.4962, 6.4962, 6.4962 Å; angles 36.79, 36.79, 36.79 degrees
Atoms (fractional coordinates):
Se 0.9796 0.9796 0.9796
Se 0.1903 0.1903 0.1903
La 0.7594 0.7594 0.7594
Tc 0.5707 0.5707 0.5707

***

Entry 13:
Material: Y2MgV
Method: DFT, PBE
State: optimized geometry

Values from the calculation:
As for the space group: R-3m. Its crystal system is trigonal. For the total energy, the calculation gives -21.143 eV/f.u.

Cell lengths 3.2861, 3.2861, 11.4981 Å; angles 81.78, 81.78, 60.00 degrees
Site moments in Bohr magnetons follow the coordinates.
Atoms (fractional coordinates):
V 0.0000 0.0000 0.0000  2.58
Mg 0.5000 0.5000 0.5000  0.01
Y 0.0838 0.0838 0.7485  0.12
Y 0.9162 0.9162 0.2515  0.12